Entry 1:
NpGaHRh2: relaxed, PBE-GGA.

Final energy, eV/atom: -7.191

abc: 2.9790 12.4084 7.7039
angles: 90.00 90.00 90.00
With the nearest neighbours (Å) after each atom.
Space group Cmcm (No. 63)
One atom of each set of equivalent atoms:
1 Np 0.0000 0.0176 0.2500 [4 per cell]  4 H 2.44
2 Ga 0.0000 0.2547 0.7500 [4 per cell]  6 Rh 2.55-2.58
3 H 0.0000 0.5000 0.0000 [4 per cell]  2 Rh 1.84
4 Rh 0.0000 0.3536 0.0403 [8 per cell]  1 H 1.84


Entry 2:
PuNpGaSi: relaxed, PBE-GGA.

ΔE_f (raw), eV/atom: -0.122

abc: 6.9658 6.9658 6.9658
angles: 90.00 90.00 90.00
With the nearest neighbours (Å) after each atom.
Space group F-43m (No. 216)
One atom of each set of equivalent atoms:
1 Pu 0.0000 0.0000 0.0000 [4 per cell]  4 Ga 3.02, 4 Si 3.02
2 Np 0.0000 0.0000 0.5000 [4 per cell]  4 Si 3.02, 4 Ga 3.02
3 Ga 0.2500 0.2500 0.2500 [4 per cell]  4 Np 3.02, 4 Pu 3.02
4 Si 0.2500 0.2500 0.7500 [4 per cell]  4 Np 3.02, 4 Pu 3.02


Entry 3:
CsH2SeCl8: relaxed, PBE-GGA.

Final energy, eV/atom: -2.749

abc: 6.9219 7.3620 8.4825
angles: 80.22 78.00 72.92
With the nearest neighbours (Å) after each atom.
Space group P-1 (No. 2)
One atom of each set of equivalent atoms:
1 Cs 0.0000 0.0000 0.0000 [1 per cell]  8 Cl 3.60-3.83
2 H 0.4274 0.4334 0.2417 [2 per cell]  1 Cl 1.32
3 Se 0.5000 0.0000 0.5000 [1 per cell]  4 Cl 2.36-2.42
4 Cl 0.1447 0.4715 0.9324 [2 per cell]  1 Cl 2.05
5 Cl 0.1483 0.1507 0.5765 [2 per cell]  1 Se 2.36
6 Cl 0.4259 0.6121 0.2470 [2 per cell]  1 H 1.32
7 Cl 0.4749 0.1365 0.2218 [2 per cell]  1 H 2.14


Entry 4:
CsPuZnTe3: relaxed, PBE-GGA.

ΔE_f (raw), eV/atom: -0.893

abc: 10.3284 4.4992 10.9827
angles: 90.00 111.37 90.00
With the nearest neighbours (Å) after each atom.
Space group P2_1/m (No. 11)
One atom of each set of equivalent atoms:
1 Cs 0.2202 0.2500 0.2480 [2 per cell]  7 Te 3.86-4.01
2 Pu 0.3248 0.7500 0.8581 [2 per cell]  6 Te 3.10-3.24
3 Zn 0.0859 0.2500 0.6128 [2 per cell]  4 Te 2.64-2.77
4 Te 0.1136 0.2500 0.8617 [2 per cell]  1 Zn 2.64
5 Te 0.1945 0.7500 0.5410 [2 per cell]  3 Zn 2.75-2.77
6 Te 0.4760 0.7500 0.1593 [2 per cell]  3 Pu 3.10


Entry 5:
CaHgMo2: relaxed, PBE-GGA.

E_form, eV/atom: 0.48

abc: 3.4509 5.1004 9.4722
angles: 90.00 90.00 90.00
With the nearest neighbours (Å) after each atom.
Space group Imm2 (No. 44)
One atom of each set of equivalent atoms:
1 Ca 0.0000 0.0000 0.0000 [2 per cell]  8 Mo 3.11-3.33, 4 Hg 3.14-3.31, 2 Ca 3.45
2 Hg 0.0000 0.5000 0.7775 [2 per cell]  8 Mo 3.08-3.36, 4 Ca 3.14-3.31
3 Mo 0.0000 0.0000 0.5463 [2 per cell]  2 Mo 2.43
4 Mo 0.0000 0.5000 0.2266 [2 per cell]  2 Mo 2.43


Entry 6:
LiPb2: relaxed, PBE-GGA.

E_form, eV/atom: -0.12

abc: 5.1058 5.1058 3.6241
angles: 90.00 90.00 120.00
With the nearest neighbours (Å) after each atom.
Space group P-3m1 (No. 164)
One atom of each set of equivalent atoms:
1 Li 0.0000 0.0000 0.0000 [1 per cell]  6 Pb 3.13
2 Pb 0.3333 0.6667 0.7104 [2 per cell]  3 Li 3.13, 3 Pb 3.32


Entry 7:
CaReTc: relaxed, PBE-GGA.

E_form, eV/atom: 2.38

abc: 6.3226 6.3226 6.3226
angles: 90.00 90.00 90.00
With the nearest neighbours (Å) after each atom.
Space group F-43m (No. 216)
One atom of each set of equivalent atoms:
1 Ca 0.0000 0.0000 0.0000 [4 per cell]  4 Re 2.74, 4 Tc 2.74
2 Re 0.2500 0.2500 0.2500 [4 per cell]  4 Ca 2.74
3 Tc 0.2500 0.2500 0.7500 [4 per cell]  4 Ca 2.74


Entry 8:
Zr2InW: relaxed, PBE-GGA.

E_form, eV/atom: 0.75

abc: 4.1328 4.1328 20.6409
angles: 90.00 90.00 90.00
With the nearest neighbours (Å) after each atom.
Space group I-42d (No. 122)
One atom of each set of equivalent atoms:
1 Zr 0.2383 0.2500 0.1250 [8 per cell]  4 Zr 2.85-2.99, 2 W 2.95, 2 In 2.98
2 In 0.0000 0.0000 0.5000 [4 per cell]  4 W 2.92, 4 Zr 2.98
3 W 0.0000 0.0000 0.0000 [4 per cell]  4 In 2.92, 4 Zr 2.95


| no. | calculated volume (Å³ per atom) |
| --- | --- |
| 1 | 14.24 |
| 2 | 21.12 |
| 3 | 33.45 |
| 4 | 39.61 |
| 5 | 20.84 |
| 6 | 27.27 |
| 7 | 21.06 |
| 8 | 22.03 |